A plane-wave DFT calculation with PBE-GGA was carried out for crystalline BaRu3C at its relaxed geometry.

Output
The value obtained for the polymorph energy (0 for the lowest one) is 3269 meV per atom. The mass density is 5.7 g/cm³. As for the total energy: -0.142 Ha/atom. The value obtained for the energy of formation from the pure elements is 3928 meV per atom. The calculation puts the spin magnetization at 3.4 μB/cell.

Cell and atoms, written as CIF:
```
data_BaRu3C
_space_group_name_H-M_alt 'P m -3 m'
_space_group_IT_number 221
_space_group_name_Hall '-P 4 2 3'
_cell_length_a 5.0785
_cell_length_b 5.0785
_cell_length_c 5.0785
_cell_angle_alpha 90.00
_cell_angle_beta 90.00
_cell_angle_gamma 90.00
loop_
_atom_site_label
_atom_site_type_symbol
_atom_site_fract_x
_atom_site_fract_y
_atom_site_fract_z
Ba1 Ba 0.0000 0.0000 0.0000
Ru1 Ru 0.0000 0.0000 0.5000
C1 C 0.5000 0.5000 0.5000
```

A plane-wave DFT calculation with PBE-GGA was carried out for crystalline BaRuC at its relaxed geometry.

Output
The mass density is 5.8 g/cm³. As for the total energy: -0.245 Ha/atom. The value obtained for the energy of formation from the pure elements is 135 meV per atom. The calculation puts the spin magnetization at 0.0 μB/cell.

Cell and atoms, written as CIF:
```
data_BaRuC
_space_group_name_H-M_alt 'P 4/n m m'
_space_group_IT_number 129
_cell_length_a 3.8563
_cell_length_b 3.8563
_cell_length_c 9.6469
_cell_angle_alpha 90.00
_cell_angle_beta 90.00
_cell_angle_gamma 90.00
loop_
_space_group_symop_operation_xyz
'x,y,z'
'-x,-y,-z'
'-y+1/2,x,z'
'y+1/2,-x,-z'
'-x+1/2,-y+1/2,z'
'x+1/2,y+1/2,-z'
'y,-x+1/2,z'
'-y,x+1/2,-z'
'x+1/2,-y,-z'
'-x+1/2,y,z'
'-y,-x,-z'
'y,x,z'
'-x,y+1/2,-z'
'x,-y+1/2,z'
'y+1/2,x+1/2,-z'
'-y+1/2,-x+1/2,z'
loop_
_atom_site_label
_atom_site_type_symbol
_atom_site_fract_x
_atom_site_fract_y
_atom_site_fract_z
Ba1 Ba 0.2500 0.2500 0.2177
Ru1 Ru 0.2500 0.7500 0.5000
C1 C 0.2500 0.2500 0.5837
```

A plane-wave DFT calculation with PBE-GGA was carried out for crystalline BaRuC2 at its relaxed geometry.

Output
The value obtained for the polymorph energy (0 for the lowest one) is 1723 meV per atom. The mass density is 7.3 g/cm³. As for the total energy: -0.196 Ha/atom. The value obtained for the energy of formation from the pure elements is 2082 meV per atom. The calculation puts the spin magnetization at 0.0 μB/cell.

Cell and atoms, written as CIF:
```
data_BaRuC2
_space_group_name_H-M_alt 'F m -3 m'
_space_group_IT_number 225
_space_group_name_Hall '-F 4 2 3'
_cell_length_a 6.2129
_cell_length_b 6.2129
_cell_length_c 6.2129
_cell_angle_alpha 90.00
_cell_angle_beta 90.00
_cell_angle_gamma 90.00
loop_
_atom_site_label
_atom_site_type_symbol
_atom_site_fract_x
_atom_site_fract_y
_atom_site_fract_z
Ba1 Ba 0.0000 0.0000 0.0000
Ru1 Ru 0.0000 0.0000 0.5000
C1 C 0.2500 0.2500 0.2500
```